# 1
# Cr2PW (GGA-PBE, relaxed)
data_Cr2PW
_chemical_formula_sum 'Cr4 P2 W2'
_space_group_name_H-M_alt 'I m m m'
_space_group_IT_number 71
_space_group_name_Hall '-I 2 2'
_cell_length_a 3.013
_cell_length_b 4.000
_cell_length_c 8.372
_cell_angle_alpha 90.00
_cell_angle_beta 90.00
_cell_angle_gamma 90.00
loop_
_atom_site_label
_atom_site_fract_x
_atom_site_fract_y
_atom_site_fract_z
Cr1 0.000 0.000 0.241
P1 0.000 0.500 0.500
W1 0.000 0.500 0.000
# - Calculated formation energy: -0.4 kcal/mol of atoms
# - M_tot: 0.00 μB per formula unit

=====

# 2
# Cr2PW (GGA-PBE, relaxed)
data_Cr2PW
_chemical_formula_sum 'Cr6 P3 W3'
_space_group_name_H-M_alt 'R -3 m'
_space_group_IT_number 166
_space_group_name_Hall '-R 3 2"'
_cell_length_a 2.8674
_cell_length_b 2.8674
_cell_length_c 22.4768
_cell_angle_alpha 90.00
_cell_angle_beta 90.00
_cell_angle_gamma 120.00
loop_
_atom_site_label
_atom_site_fract_x
_atom_site_fract_y
_atom_site_fract_z
Cr1 0.0000 0.0000 0.2418
P1 0.0000 0.0000 0.5000
W1 0.0000 0.0000 0.0000
# - Calculated formation energy: 4.2 kcal/mol of atoms
# - M_tot: 0.00 μB per formula unit

=====

# 3
# CrPW2 (GGA-PBE, relaxed)
data_CrPW2
_chemical_formula_sum 'Cr2 P2 W4'
_space_group_name_H-M_alt 'I m m m'
_space_group_IT_number 71
_space_group_name_Hall '-I 2 2'
_cell_length_a 3.148
_cell_length_b 4.323
_cell_length_c 8.227
_cell_angle_alpha 90.00
_cell_angle_beta 90.00
_cell_angle_gamma 90.00
loop_
_atom_site_label
_atom_site_fract_x
_atom_site_fract_y
_atom_site_fract_z
Cr1 0.000 0.000 0.000
P1 0.000 0.000 0.500
W1 0.000 0.500 0.243
# - Calculated formation energy: 2.8 kcal/mol of atoms
# - M_tot: 0.80 μB per formula unit

=====

# 4
# CrPW2 (GGA-PBE, relaxed)
data_CrPW2
_chemical_formula_sum 'Cr1 P1 W2'
_space_group_name_H-M_alt 'P 4/m m m'
_space_group_IT_number 123
_space_group_name_Hall '-P 4 2'
_cell_length_a 3.020
_cell_length_b 3.020
_cell_length_c 6.095
_cell_angle_alpha 90.00
_cell_angle_beta 90.00
_cell_angle_gamma 90.00
loop_
_atom_site_label
_atom_site_fract_x
_atom_site_fract_y
_atom_site_fract_z
Cr1 0.000 0.000 0.000
P1 0.000 0.000 0.500
W1 0.500 0.500 0.256
# - Calculated formation energy: 3.2 kcal/mol of atoms
# - M_tot: 0.64 μB per formula unit

=====

# 5
# CrPW2 (GGA-PBE, relaxed)
data_CrPW2
_chemical_formula_sum 'Cr1 P1 W2'
_space_group_name_H-M_alt 'P m m m'
_space_group_IT_number 47
_cell_length_a 3.122
_cell_length_b 4.000
_cell_length_c 4.494
_cell_angle_alpha 90.00
_cell_angle_beta 90.00
_cell_angle_gamma 90.00
loop_
_space_group_symop_operation_xyz
'x,y,z'
'-x,-y,-z'
'-x,-y,z'
'x,y,-z'
'x,-y,-z'
'-x,y,z'
'-x,y,-z'
'x,-y,z'
loop_
_atom_site_label
_atom_site_fract_x
_atom_site_fract_y
_atom_site_fract_z
Cr1 0.000 0.000 0.000
P1 0.500 0.000 0.500
W1 0.000 0.500 0.500
W2 0.500 0.500 0.000
# - Calculated formation energy: 4.1 kcal/mol of atoms
# - M_tot: 0.14 μB per formula unit

=====

# 6
# CrPW2 (GGA-PBE, relaxed)
data_CrPW2
_chemical_formula_sum 'Cr1 P1 W2'
_space_group_name_H-M_alt 'P m m m'
_space_group_IT_number 47
_cell_length_a 2.917
_cell_length_b 3.818
_cell_length_c 5.066
_cell_angle_alpha 90.00
_cell_angle_beta 90.00
_cell_angle_gamma 90.00
loop_
_space_group_symop_operation_xyz
'x,y,z'
'-x,-y,-z'
'-x,-y,z'
'x,y,-z'
'x,-y,-z'
'-x,y,z'
'-x,y,-z'
'x,-y,z'
loop_
_atom_site_label
_atom_site_fract_x
_atom_site_fract_y
_atom_site_fract_z
Cr1 0.000 0.000 0.000
P1 0.000 0.000 0.500
W1 0.500 0.500 0.252
# - Calculated formation energy: 5.5 kcal/mol of atoms
# - M_tot: 0.00 μB per formula unit

=====

# 7
# Cr2P6W (GGA-PBE, relaxed)
data_Cr2P6W
_chemical_formula_sum 'Cr4 P12 W2'
_space_group_name_H-M_alt 'P 42/m n m'
_space_group_IT_number 136
_space_group_name_Hall '-P 4n 2n'
_cell_length_a 5.782
_cell_length_b 5.782
_cell_length_c 9.020
_cell_angle_alpha 90.00
_cell_angle_beta 90.00
_cell_angle_gamma 90.00
loop_
_atom_site_label
_atom_site_fract_x
_atom_site_fract_y
_atom_site_fract_z
Cr1 0.000 0.000 0.168
P1 0.205 0.205 0.000
P2 0.217 0.217 0.326
W1 0.000 0.000 0.500
# - Calculated formation energy: -2.2 kcal/mol of atoms
# - M_tot: 0.00 μB per formula unit

=====

# 8
# CrPW2 (GGA-PBE, relaxed)
data_CrPW2
_chemical_formula_sum 'Cr3 P3 W6'
_space_group_name_H-M_alt 'R 3 m'
_space_group_IT_number 160
_space_group_name_Hall 'R 3 -2"'
_cell_length_a 2.8556
_cell_length_b 2.8556
_cell_length_c 24.3669
_cell_angle_alpha 90.00
_cell_angle_beta 90.00
_cell_angle_gamma 120.00
loop_
_atom_site_label
_atom_site_fract_x
_atom_site_fract_y
_atom_site_fract_z
Cr1 0.0000 0.0000 0.0000
P1 0.0000 0.0000 0.7356
W1 0.0000 0.0000 0.2468
W2 0.0000 0.0000 0.4837
# - Calculated formation energy: 5.7 kcal/mol of atoms
# - M_tot: 0.00 μB per formula unit

=====

# 9
# CrPW2 (GGA-PBE, relaxed)
data_CrPW2
_chemical_formula_sum 'Cr1 P1 W2'
_space_group_name_H-M_alt 'P 1 2/m 1'
_space_group_IT_number 10
_cell_length_a 2.767
_cell_length_b 4.011
_cell_length_c 5.243
_cell_angle_alpha 90.00
_cell_angle_beta 101.85
_cell_angle_gamma 90.00
loop_
_space_group_symop_operation_xyz
'x,y,z'
'-x,-y,-z'
'-x,y,-z'
'x,-y,z'
loop_
_atom_site_label
_atom_site_fract_x
_atom_site_fract_y
_atom_site_fract_z
Cr1 0.000 0.000 0.000
P1 0.500 0.000 0.500
W1 0.272 0.500 0.751
# - Calculated formation energy: 5.7 kcal/mol of atoms
# - M_tot: 1.04 μB per formula unit

=====

# 10
# CrPW2 (GGA-PBE, relaxed)
data_CrPW2
_chemical_formula_sum 'Cr4 P4 W8'
_space_group_name_H-M_alt 'F -4 3 m'
_space_group_IT_number 216
_space_group_name_Hall 'F -4 2 3'
_cell_length_a 6.070
_cell_length_b 6.070
_cell_length_c 6.070
_cell_angle_alpha 90.00
_cell_angle_beta 90.00
_cell_angle_gamma 90.00
loop_
_atom_site_label
_atom_site_fract_x
_atom_site_fract_y
_atom_site_fract_z
Cr1 0.000 0.000 0.000
P1 0.250 0.250 0.750
W1 0.000 0.000 0.500
W2 0.250 0.250 0.250
# - Calculated formation energy: 7.2 kcal/mol of atoms
# - M_tot: 0.01 μB per formula unit

=====

# 11
# CrPW2 (GGA-PBE, relaxed)
data_CrPW2
_chemical_formula_sum 'Cr1 P1 W2'
_space_group_name_H-M_alt 'P 1 m 1'
_space_group_IT_number 6
_cell_length_a 2.886
_cell_length_b 4.263
_cell_length_c 4.815
_cell_angle_alpha 90.00
_cell_angle_beta 106.36
_cell_angle_gamma 90.00
loop_
_space_group_symop_operation_xyz
'x,y,z'
'x,-y,z'
loop_
_atom_site_label
_atom_site_fract_x
_atom_site_fract_y
_atom_site_fract_z
Cr1 0.000 0.000 0.000
P1 0.032 0.500 0.235
W1 0.330 0.500 0.782
W2 0.528 0.000 0.491
# - Calculated formation energy: 1.4 kcal/mol of atoms
# - M_tot: 0.00 μB per formula unit

=====

# 12
# Cr2PW (GGA-PBE, relaxed)
data_Cr2PW
_chemical_formula_sum 'Cr2 P1 W1'
_space_group_name_H-M_alt 'P 4 m m'
_space_group_IT_number 99
_cell_length_a 3.015
_cell_length_b 3.015
_cell_length_c 5.642
_cell_angle_alpha 90.00
_cell_angle_beta 90.00
_cell_angle_gamma 90.00
loop_
_space_group_symop_operation_xyz
'x,y,z'
'-y,x,z'
'-x,-y,z'
'y,-x,z'
'-x,y,z'
'y,x,z'
'x,-y,z'
'-y,-x,z'
loop_
_atom_site_label
_atom_site_fract_x
_atom_site_fract_y
_atom_site_fract_z
Cr1 0.000 0.000 0.000
Cr2 0.500 0.500 0.200
P1 0.000 0.000 0.448
W1 0.500 0.500 0.684
# - Calculated formation energy: -0.6 kcal/mol of atoms
# - M_tot: 0.60 μB per formula unit